1.
DFT (PBE-GGA) results for CaZn4Ni after structural relaxation.

Computed properties:
ΔH_f (0 K) = -14.2 kJ per mole of atoms
offset from the most stable computed form = 80 meV per atom
calculated density = 6.2 g cm⁻³
electronic total energy = -2.294 eV/atom

a = 5.151 Å, b = 5.151 Å, c = 5.151 Å
α = 60.00°, β = 60.00°, γ = 60.00°
Atoms (fractional coordinates):
1 Ca 0.750 0.750 0.750
2 Zn 0.879 0.374 0.374
3 Zn 0.374 0.374 0.374
4 Zn 0.374 0.374 0.879
5 Zn 0.374 0.879 0.374
6 Ni 0.000 0.000 0.000

=====

2.
DFT (PBE-GGA) results for CaZn8Ni4 after structural relaxation.

Computed properties:
ΔH_f (0 K) = -25.4 kJ per mole of atoms
calculated density = 7.1 g cm⁻³
electronic total energy = -2.980 eV/atom

a = 5.090 Å, b = 6.586 Å, c = 6.586 Å
α = 81.41°, β = 67.26°, γ = 67.26°
Atoms (fractional coordinates):
1 Zn 0.000 0.661 0.339
2 Zn 0.000 0.339 0.661
3 Zn 0.661 0.339 0.339
4 Zn 0.500 0.775 0.225
5 Zn 0.725 0.775 0.775
6 Zn 0.275 0.225 0.225
7 Zn 0.339 0.661 0.661
8 Zn 0.500 0.225 0.775
9 Ni 0.000 0.000 0.500
10 Ni 0.000 0.500 0.000
11 Ni 0.500 0.500 0.000
12 Ni 0.500 0.000 0.500
13 Ca 0.000 0.000 0.000

=====

3.
DFT (PBE-GGA) results for CaZn11Ni after structural relaxation.

Computed properties:
ΔH_f (0 K) = -15.7 kJ per mole of atoms
calculated density = 6.7 g cm⁻³
electronic total energy = -1.840 eV/atom

a = 5.005 Å, b = 6.832 Å, c = 6.836 Å
α = 82.57°, β = 68.53°, γ = 69.30°
Atoms (fractional coordinates):
1 Zn 0.495 0.777 0.215
2 Zn 0.290 0.223 0.215
3 Zn 0.500 0.000 0.500
4 Zn 0.982 0.359 0.657
5 Zn 0.362 0.641 0.657
6 Zn 0.710 0.777 0.785
7 Zn 0.000 0.500 0.000
8 Zn 0.638 0.359 0.343
9 Zn 0.000 0.000 0.500
10 Zn 0.505 0.223 0.785
11 Zn 0.018 0.641 0.343
12 Ca 0.000 0.000 0.000
13 Ni 0.500 0.500 0.000

=====

4.
DFT (PBE-GGA) results for Ca3Zn9Ni2 after structural relaxation.

Computed properties:
ΔH_f (0 K) = -23.6 kJ per mole of atoms
calculated density = 5.4 g cm⁻³
electronic total energy = -2.319 eV/atom

a = 4.315 Å, b = 8.093 Å, c = 8.093 Å
α = 70.50°, β = 74.54°, γ = 74.54°
Atoms (fractional coordinates):
1 Zn 0.000 0.500 0.500
2 Zn 0.659 0.695 0.986
3 Zn 0.118 0.163 0.601
4 Zn 0.882 0.837 0.399
5 Zn 0.659 0.986 0.695
6 Zn 0.882 0.399 0.837
7 Zn 0.341 0.014 0.305
8 Zn 0.341 0.305 0.014
9 Zn 0.118 0.601 0.163
10 Ni 0.500 0.314 0.686
11 Ni 0.500 0.686 0.314
12 Ca 0.000 0.000 0.000
13 Ca 0.305 0.695 0.695
14 Ca 0.695 0.305 0.305

=====

5.
DFT (PBE-GGA) results for Ca4ZnNi after structural relaxation.

Computed properties:
ΔH_f (0 K) = 70.2 kJ per mole of atoms
offset from the most stable computed form = 836 meV per atom
calculated density = 2.5 g cm⁻³
electronic total energy = -1.783 eV/atom

a = 6.457 Å, b = 6.457 Å, c = 6.457 Å
α = 60.00°, β = 60.00°, γ = 60.00°
Atoms (fractional coordinates):
1 Ca 0.375 0.375 0.375
2 Ca 0.874 0.375 0.375
3 Ca 0.375 0.375 0.874
4 Ca 0.375 0.874 0.375
5 Zn 0.000 0.000 0.000
6 Ni 0.750 0.750 0.750

=====

6.
DFT (PBE-GGA) results for Ca3Zn2Ni after structural relaxation.

Computed properties:
ΔH_f (0 K) = -22.8 kJ per mole of atoms
offset from the most stable computed form = 0 meV per atom
calculated density = 3.4 g cm⁻³
electronic total energy = -2.626 eV/atom

a = 4.153 Å, b = 12.278 Å, c = 11.976 Å
α = 90.00°, β = 90.00°, γ = 90.00°
Atoms (fractional coordinates):
1 Ca 0.750 0.873 0.446
2 Ca 0.750 0.551 0.616
3 Ca 0.250 0.373 0.054
4 Ca 0.250 0.791 0.719
5 Ca 0.750 0.209 0.281
6 Ca 0.250 0.051 0.884
7 Ca 0.250 0.709 0.219
8 Ca 0.750 0.949 0.116
9 Ca 0.250 0.127 0.554
10 Ca 0.750 0.291 0.781
11 Ca 0.750 0.627 0.946
12 Ca 0.250 0.449 0.384
13 Zn 0.250 0.016 0.298
14 Zn 0.750 0.516 0.202
15 Zn 0.250 0.815 0.973
16 Zn 0.750 0.315 0.527
17 Zn 0.750 0.185 0.027
18 Zn 0.750 0.984 0.702
19 Zn 0.250 0.484 0.798
20 Zn 0.250 0.685 0.473
21 Ni 0.750 0.631 0.376
22 Ni 0.750 0.869 0.876
23 Ni 0.250 0.369 0.624
24 Ni 0.250 0.131 0.124

=====

7.
DFT (PBE-GGA) results for CaZnNi3 after structural relaxation.

Computed properties:
ΔH_f (0 K) = 31.9 kJ per mole of atoms
offset from the most stable computed form = 444 meV per atom
calculated density = 5.3 g cm⁻³
electronic total energy = -3.793 eV/atom

a = 4.446 Å, b = 4.446 Å, c = 4.446 Å
α = 90.00°, β = 90.00°, γ = 90.00°
Atoms (fractional coordinates):
1 Ni 0.500 0.000 0.000
2 Ni 0.000 0.000 0.500
3 Ni 0.000 0.500 0.000
4 Zn 0.000 0.000 0.000
5 Ca 0.500 0.500 0.500

=====

8.
DFT (PBE-GGA) results for CaZnNi2 after structural relaxation.

Computed properties:
ΔH_f (0 K) = -0.4 kJ per mole of atoms
calculated density = 5.4 g cm⁻³
electronic total energy = -3.714 eV/atom

a = 3.860 Å, b = 3.575 Å, c = 5.310 Å
α = 69.99°, β = 90.00°, γ = 90.00°
Atoms (fractional coordinates):
1 Zn 0.000 0.492 0.389
2 Ca 0.500 0.785 0.810
3 Ni 0.500 0.047 0.275
4 Ni 0.000 0.176 0.026

=====

9.
DFT (PBE-GGA) results for CaZnNi after structural relaxation.

Computed properties:
ΔH_f (0 K) = -2.5 kJ per mole of atoms
calculated density = 4.4 g cm⁻³
electronic total energy = -3.044 eV/atom

a = 4.454 Å, b = 4.454 Å, c = 4.454 Å
α = 60.00°, β = 60.00°, γ = 60.00°
Atoms (fractional coordinates):
1 Ca 0.500 0.500 0.500
2 Ni 0.250 0.250 0.250
3 Zn 0.000 0.000 0.000

=====

10.
DFT (PBE-GGA) results for Ca2Zn2Ni after structural relaxation.

Computed properties:
ΔH_f (0 K) = -18.5 kJ per mole of atoms
offset from the most stable computed form = 64 meV per atom
calculated density = 3.7 g cm⁻³
electronic total energy = -2.658 eV/atom

a = 6.055 Å, b = 6.340 Å, c = 7.692 Å
α = 114.34°, β = 113.18°, γ = 90.00°
Atoms (fractional coordinates):
1 Zn 0.108 0.815 0.217
2 Zn 0.392 0.598 0.783
3 Zn 0.892 0.185 0.783
4 Zn 0.608 0.402 0.217
5 Ni 0.250 0.500 0.000
6 Ni 0.750 0.500 0.000
7 Ca 0.141 0.349 0.283
8 Ca 0.359 0.066 0.717
9 Ca 0.641 0.934 0.283
10 Ca 0.859 0.651 0.717

=====

11.
DFT (PBE-GGA) results for CaZnNi4 after structural relaxation.

Computed properties:
ΔH_f (0 K) = 2.0 kJ per mole of atoms
calculated density = 6.5 g cm⁻³
electronic total energy = -4.380 eV/atom

a = 3.859 Å, b = 5.933 Å, c = 7.781 Å
α = 90.00°, β = 104.36°, γ = 90.00°
Atoms (fractional coordinates):
1 Ni 0.073 0.750 0.146
2 Ni 0.338 0.058 0.676
3 Ni 0.662 0.942 0.324
4 Ni 0.662 0.558 0.324
5 Ni 0.500 0.000 0.000
6 Ni 0.927 0.250 0.854
7 Ni 0.500 0.500 0.000
8 Ni 0.338 0.442 0.676
9 Ca 0.109 0.250 0.218
10 Ca 0.891 0.750 0.782
11 Zn 0.767 0.250 0.535
12 Zn 0.233 0.750 0.465

=====

12.
DFT (PBE-GGA) results for Ca2Zn2Ni after structural relaxation.

Computed properties:
ΔH_f (0 K) = -0.5 kJ per mole of atoms
offset from the most stable computed form = 251 meV per atom
calculated density = 3.9 g cm⁻³
electronic total energy = -2.471 eV/atom

a = 3.575 Å, b = 3.575 Å, c = 9.268 Å
α = 78.88°, β = 78.88°, γ = 90.00°
Atoms (fractional coordinates):
1 Zn 0.250 0.750 0.500
2 Zn 0.750 0.250 0.500
3 Ni 0.000 0.000 0.000
4 Ca 0.407 0.407 0.186
5 Ca 0.593 0.593 0.814